[1]
A plane-wave DFT calculation with GGA-PBE was carried out for a relaxed structure of Te2PF.

Values from the calculation:
The formation energy (no corrections) is -303 meV/atom. Its offset from the most stable computed form is 0 meV/atom. The calculation puts the density of states at the Fermi level at 0.591 states/eV/atom. The total energy is -3.694 eV per atom. The space group is R-3m (166). The mass density comes out at 5.30 g cm⁻³.

Lattice parameters (Å, degrees): 8.496 8.496 8.496 24.89 24.89 24.89
Positions (direct):
1 Te 0.094 0.094 0.094
2 Te 0.906 0.906 0.906
3 P 0.500 0.500 0.500
4 F 0.000 0.000 0.000

---

[2]
A plane-wave DFT calculation with GGA-PBE was carried out for a relaxed structure of TeP3F.

Values from the calculation:
The formation energy (no corrections) is 1252 meV/atom. Its offset from the most stable computed form is 479 meV/atom. The calculation puts the density of states at the Fermi level at 0.606 states/eV/atom. The total energy is -2.997 eV per atom. The space group is Pm-3m (221). The mass density comes out at 3.00 g cm⁻³.

Lattice parameters (Å, degrees): 5.101 5.101 5.101 90.00 90.00 90.00
Positions (direct):
1 Te 0.000 0.000 0.000
2 P 0.000 0.000 0.500
3 P 0.000 0.500 0.000
4 P 0.500 0.000 0.000
5 F 0.500 0.500 0.500